[1]
The following is a PBE-GGA calculation of an optimized crystal structure of Ac3Hg7Pb2, from the Alexandria database.

Cell and atoms, written as CIF:
```
data_Ac3Hg7Pb2
_cell_length_a 4.990
_cell_length_b 4.701
_cell_length_c 15.916
_cell_angle_alpha 90.00
_cell_angle_beta 98.74
_cell_angle_gamma 90.00
_space_group_name_H-M_alt 'P 1 2/m 1'
_space_group_IT_number 10
_space_group_name_Hall '-P 2y'
loop_
_atom_site_label
_atom_site_fract_x
_atom_site_fract_y
_atom_site_fract_z
_atom_site_occupancy
Ac1 0.000 0.000 0.000 1
Ac2 0.321 0.500 0.638 1
Hg1 0.074 0.500 0.151 1
Hg2 0.231 0.000 0.462 1
Hg3 0.425 0.000 0.849 1
Hg4 0.500 0.500 0.000 1
Pb1 0.136 0.000 0.277 1
```

Results
Magnetization in μB per formula unit: 0.00
Calculated density in Mg/m³: 11.248
ΔE_f in eV per atom: -0.319
Raw total energy in eV per atom: -2.140
DOS at the Fermi energy in states/eV per cell: 7.82

[2]
The following is a PBE-GGA calculation of an optimized crystal structure of AcNdRh, from the Alexandria database.

Cell and atoms, written as CIF:
```
data_AcNdRh
_cell_length_a 3.685
_cell_length_b 3.685
_cell_length_c 13.477
_cell_angle_alpha 90.00
_cell_angle_beta 90.00
_cell_angle_gamma 90.00
_space_group_name_H-M_alt 'I 4 m m'
_space_group_IT_number 107
_space_group_name_Hall 'I 4 -2'
loop_
_atom_site_label
_atom_site_fract_x
_atom_site_fract_y
_atom_site_fract_z
_atom_site_occupancy
Ac1 0.000 0.000 0.000 1
Nd1 0.000 0.000 0.747 1
Rh1 0.000 0.000 0.363 1
```

Results
Magnetization in μB per formula unit: 0.00
Calculated density in Mg/m³: 8.602
ΔE_f in eV per atom: -0.379
Raw total energy in eV per atom: -5.788
DOS at the Fermi energy in states/eV per cell: 6.29

[3]
The following is a PBE-GGA calculation of an optimized crystal structure of Pm2HoTm12, from the Alexandria database.

Cell and atoms, written as CIF:
```
data_Pm2HoTm12
_cell_length_a 7.086
_cell_length_b 11.081
_cell_length_c 23.845
_cell_angle_alpha 90.00
_cell_angle_beta 94.27
_cell_angle_gamma 90.00
_space_group_name_H-M_alt 'C 1 2/m 1'
_space_group_IT_number 12
_space_group_name_Hall '-C 2y'
loop_
_atom_site_label
_atom_site_fract_x
_atom_site_fract_y
_atom_site_fract_z
_atom_site_occupancy
Pm1 0.069 0.000 0.280 1
Pm2 0.069 0.500 0.280 1
Ho1 0.250 0.000 0.000 1
Tm1 0.017 0.250 0.066 1
Tm2 0.033 0.000 0.134 1
Tm3 0.034 0.500 0.135 1
Tm4 0.111 0.251 0.445 1
Tm5 0.143 0.000 0.572 1
Tm6 0.144 0.500 0.572 1
Tm7 0.168 0.250 0.670 1
Tm8 0.203 0.250 0.809 1
```

Results
Magnetization in μB per formula unit: 0.00
Calculated density in Mg/m³: 8.829
ΔE_f in eV per atom: 0.107
Raw total energy in eV per atom: -4.408
DOS at the Fermi energy in states/eV per cell: 103.17